# KAgW2

A relaxed structure of KAgW2 (PBE-GGA, Alexandria via LeMat-Bulk).

Relative energy among the computed polymorphs in meV/atom: 191
Formation energy from the elements in kJ per mole of atoms: 88
VASP energy in eV/atom: -6.547

Lattice parameters (Å, degrees): 2.7124 4.0266 8.3560 90.00 90.00 90.00
Last column: nearest neighbours and their distance in Å.
Space group Pmm2 (No. 25)
Symmetry-distinct sites (fractional):
K 0.0000 0.0000 0.0000 x1  2 K 2.71
Ag 0.5000 0.5000 0.6909 x1  2 Ag 2.71, 5 W 2.94-2.97
W 0.0000 0.0000 0.4919 x1  6 W 2.71-2.76, 4 Ag 2.94
W 0.5000 0.5000 0.3352 x1  6 W 2.71-2.76, 1 Ag 2.97

---

# KAgW2

A relaxed structure of KAgW2 (PBE-GGA, Alexandria via LeMat-Bulk).

Relative energy among the computed polymorphs in meV/atom: 835
Formation energy from the elements in kJ per mole of atoms: 151
VASP energy in eV/atom: -5.903

Lattice parameters (Å, degrees): 3.8403 3.8403 5.4970 90.00 90.00 90.00
Last column: nearest neighbours and their distance in Å.
Space group P4/mmm (No. 123)
Symmetry-distinct sites (fractional):
K 0.0000 0.0000 0.0000 x1  4 Ag 2.72
Ag 0.5000 0.5000 0.0000 x1  4 K 2.72
W 0.0000 0.5000 0.5000 x2  4 W 2.72

---

# KAg2W

A relaxed structure of KAg2W (PBE-GGA, Alexandria via LeMat-Bulk).

Relative energy among the computed polymorphs in meV/atom: 129
Formation energy from the elements in kJ per mole of atoms: 81
VASP energy in eV/atom: -4.094

Lattice parameters (Å, degrees): 5.4700 5.4700 2.7156 90.00 90.00 90.00
Last column: nearest neighbours and their distance in Å.
Space group P4/mmm (No. 123)
Symmetry-distinct sites (fractional):
K 0.0000 0.0000 0.0000 x1  2 K 2.72
Ag 0.0000 0.5000 0.5000 x2  2 Ag 2.72
W 0.5000 0.5000 0.0000 x1  2 W 2.72

---

# KAgW2

A relaxed structure of KAgW2 (PBE-GGA, Alexandria via LeMat-Bulk).

Relative energy among the computed polymorphs in meV/atom: 720
Formation energy from the elements in kJ per mole of atoms: 139
VASP energy in eV/atom: -6.018

Lattice parameters (Å, degrees): 2.6487 5.4584 5.5628 90.00 90.00 90.00
Last column: nearest neighbours and their distance in Å.
Space group Pmmm (No. 47)
Symmetry-distinct sites (fractional):
K 0.0000 0.0000 0.0000 x1  2 K 2.65, 2 Ag 2.73
Ag 0.0000 0.5000 0.0000 x1  2 Ag 2.65, 2 K 2.73
W 0.5000 0.2564 0.5000 x2  4 W 2.65-2.80

---

# KAg3W

A relaxed structure of KAg3W (PBE-GGA, Alexandria via LeMat-Bulk).

Relative energy among the computed polymorphs in meV/atom: 0
Formation energy from the elements in kJ per mole of atoms: 115
VASP energy in eV/atom: -3.330

Lattice parameters (Å, degrees): 5.2279 5.2279 5.2279 90.00 90.00 90.00
Last column: nearest neighbours and their distance in Å.
Space group Pm-3m (No. 221)
Symmetry-distinct sites (fractional):
K 0.0000 0.0000 0.0000 x1  12 Ag 3.70
Ag 0.0000 0.5000 0.5000 x3  2 W 2.61
W 0.5000 0.5000 0.5000 x1  6 Ag 2.61

---

# KAgW2

A relaxed structure of KAgW2 (PBE-GGA, Alexandria via LeMat-Bulk).

Relative energy among the computed polymorphs in meV/atom: 816
Formation energy from the elements in kJ per mole of atoms: 149
VASP energy in eV/atom: -5.923

Lattice parameters (Å, degrees): 3.6323 3.6323 7.7523 90.00 90.00 90.00
Last column: nearest neighbours and their distance in Å.
Space group P4/mmm (No. 123)
Symmetry-distinct sites (fractional):
K 0.0000 0.0000 0.0000 x1  4 K 3.63, 8 W 3.77, 2 Ag 3.88
Ag 0.0000 0.0000 0.5000 x1  8 W 2.80
W 0.5000 0.5000 0.3568 x2  1 W 2.22

---

# KAg2W

A relaxed structure of KAg2W (PBE-GGA, Alexandria via LeMat-Bulk).

Relative energy among the computed polymorphs in meV/atom: 229
Formation energy from the elements in kJ per mole of atoms: 91
VASP energy in eV/atom: -3.995

Lattice parameters (Å, degrees): 2.7384 5.3341 11.5460 90.00 90.00 90.00
Last column: nearest neighbours and their distance in Å.
Space group Imm2 (No. 44)
Symmetry-distinct sites (fractional):
K 0.0000 0.0000 0.0000 x2  2 K 2.74, 4 Ag 3.00
Ag 0.0000 0.0000 0.5037 x2  4 Ag 2.74-2.95, 2 W 2.86, 4 K 3.00
Ag 0.0000 0.5000 0.2299 x2  4 Ag 2.74-2.95
W 0.0000 0.5000 0.7861 x2  2 W 2.74, 2 Ag 2.86

---

# KAgW2

A relaxed structure of KAgW2 (PBE-GGA, Alexandria via LeMat-Bulk).

Relative energy among the computed polymorphs in meV/atom: 187
Formation energy from the elements in kJ per mole of atoms: 88
VASP energy in eV/atom: -6.552

Lattice parameters (Å, degrees): 2.7361 2.7361 10.5799 90.00 90.00 90.00
Last column: nearest neighbours and their distance in Å.
Space group P4mm (No. 99)
Symmetry-distinct sites (fractional):
K 0.0000 0.0000 0.0000 x1  4 K 2.74
Ag 0.5000 0.5000 0.7205 x1  4 Ag 2.74, 4 W 2.96
W 0.0000 0.0000 0.5086 x1  8 W 2.74-2.97, 4 Ag 2.96
W 0.5000 0.5000 0.2962 x1  8 W 2.74-2.97

---

# KAg4W

A relaxed structure of KAg4W (PBE-GGA, Alexandria via LeMat-Bulk).

Formation energy from the elements in kJ per mole of atoms: 83
VASP energy in eV/atom: -3.386

Lattice parameters (Å, degrees): 8.0055 8.0055 8.0055 90.00 90.00 90.00
Last column: nearest neighbours and their distance in Å.
Space group F-43m (No. 216)
Symmetry-distinct sites (fractional):
K 0.0000 0.0000 0.0000 x4  12 Ag 3.32, 4 W 3.47
Ag 0.1244 0.1244 0.3756 x16  6 Ag 2.82-2.84
W 0.2500 0.2500 0.7500 x4  12 Ag 3.32, 4 K 3.47

---

# KAgW2

A relaxed structure of KAgW2 (PBE-GGA, Alexandria via LeMat-Bulk).

Relative energy among the computed polymorphs in meV/atom: 402
Formation energy from the elements in kJ per mole of atoms: 109
VASP energy in eV/atom: -6.336

Lattice parameters (Å, degrees): 3.0132 4.5574 11.2745 90.00 90.00 90.00
Last column: nearest neighbours and their distance in Å.
Space group Cmmm (No. 65)
Symmetry-distinct sites (fractional):
K 0.0000 0.0000 0.0000 x2  6 K 2.73-3.01
Ag 0.0000 0.0000 0.5000 x2  6 Ag 2.73-3.01, 4 W 2.91
W 0.0000 0.5000 0.2790 x4  6 W 2.73-3.01, 2 Ag 2.91

---

# KAgW2

A relaxed structure of KAgW2 (PBE-GGA, Alexandria via LeMat-Bulk).

Relative energy among the computed polymorphs in meV/atom: 97
Formation energy from the elements in kJ per mole of atoms: 79
VASP energy in eV/atom: -6.642

Lattice parameters (Å, degrees): 2.8385 3.2962 9.4989 90.00 95.75 90.00
Last column: nearest neighbours and their distance in Å.
Space group Pm (No. 6)
Symmetry-distinct sites (fractional):
K 0.0000 0.0000 0.0000 x1  2 K 2.84
Ag 0.4058 0.5000 0.7078 x1  2 Ag 2.84, 4 W 2.94-2.98
W 0.4446 0.5000 0.3224 x1  2 W 2.49
W 0.8196 0.0000 0.4956 x1  2 W 2.49

---

# KAg2W

A relaxed structure of KAg2W (PBE-GGA, Alexandria via LeMat-Bulk).

Relative energy among the computed polymorphs in meV/atom: 717
Formation energy from the elements in kJ per mole of atoms: 138
VASP energy in eV/atom: -3.507

Lattice parameters (Å, degrees): 8.0158 8.0158 6.4478 90.00 90.00 90.00
Last column: nearest neighbours and their distance in Å.
Space group I-42d (No. 122)
Symmetry-distinct sites (fractional):
K 0.0000 0.0000 0.0000 x4  2 W 3.22, 8 Ag 3.23-3.52
Ag 0.1997 0.7500 0.6250 x8  2 W 2.69
W 0.0000 0.0000 0.5000 x4  4 Ag 2.69

---

# KAgW2

A relaxed structure of KAgW2 (PBE-GGA, Alexandria via LeMat-Bulk).

Relative energy among the computed polymorphs in meV/atom: 870
Formation energy from the elements in kJ per mole of atoms: 154
VASP energy in eV/atom: -5.868

Lattice parameters (Å, degrees): 3.9115 3.9115 22.4833 90.00 90.00 90.00
Last column: nearest neighbours and their distance in Å.
Space group I-42d (No. 122)
Symmetry-distinct sites (fractional):
K 0.0000 0.0000 0.0000 x4  4 Ag 2.77
Ag 0.0000 0.0000 0.5000 x4  4 K 2.77, 4 W 3.08
W 0.2017 0.2500 0.6250 x8  2 W 2.51

---

# KAgW2

A relaxed structure of KAgW2 (PBE-GGA, Alexandria via LeMat-Bulk).

Relative energy among the computed polymorphs in meV/atom: 822
Formation energy from the elements in kJ per mole of atoms: 149
VASP energy in eV/atom: -5.917

Lattice parameters (Å, degrees): 6.7143 6.7143 6.7143 90.00 90.00 90.00
Last column: nearest neighbours and their distance in Å.
Space group F-43m (No. 216)
Symmetry-distinct sites (fractional):
K 0.0000 0.0000 0.0000 x4  4 W 2.91, 4 Ag 2.91
Ag 0.2500 0.2500 0.7500 x4  4 W 2.91, 4 K 2.91
W 0.0000 0.0000 0.5000 x4  4 W 2.91, 4 Ag 2.91
W 0.2500 0.2500 0.2500 x4  4 W 2.91, 4 K 2.91

---

# KAgW2

A relaxed structure of KAgW2 (PBE-GGA, Alexandria via LeMat-Bulk).

Relative energy among the computed polymorphs in meV/atom: 699
Formation energy from the elements in kJ per mole of atoms: 137
VASP energy in eV/atom: -6.040

Lattice parameters (Å, degrees): 5.4453 10.9997 2.6574 90.00 90.00 90.00
Last column: nearest neighbours and their distance in Å.
Space group Cmmm (No. 65)
Symmetry-distinct sites (fractional):
K 0.0000 0.0000 0.0000 x2  2 K 2.66, 2 Ag 2.72
Ag 0.0000 0.5000 0.0000 x2  2 Ag 2.66, 2 K 2.72
W 0.2500 0.2500 0.5000 x4  4 W 2.66-2.72

---

# KAg2W

A relaxed structure of KAg2W (PBE-GGA, Alexandria via LeMat-Bulk).

Relative energy among the computed polymorphs in meV/atom: 779
Formation energy from the elements in kJ per mole of atoms: 144
VASP energy in eV/atom: -3.445

Lattice parameters (Å, degrees): 7.1402 7.1402 7.1402 90.00 90.00 90.00
Last column: nearest neighbours and their distance in Å.
Space group F-43m (No. 216)
Symmetry-distinct sites (fractional):
K 0.0000 0.0000 0.0000 x4  4 W 3.09, 4 Ag 3.09
Ag 0.0000 0.0000 0.5000 x4  4 W 3.09, 4 Ag 3.09
Ag 0.2500 0.2500 0.2500 x4  4 K 3.09, 4 Ag 3.09
W 0.2500 0.2500 0.7500 x4  4 K 3.09, 4 Ag 3.09

---

# KYAg2

A relaxed structure of KYAg2 (PBE-GGA, Alexandria via LeMat-Bulk).

Formation energy from the elements in kJ per mole of atoms: -11
VASP energy in eV/atom: -3.432

Lattice parameters (Å, degrees): 3.7930 3.7607 8.1750 90.00 90.09 90.00
Last column: nearest neighbours and their distance in Å.
Space group P2/m (No. 10)
Symmetry-distinct sites (fractional):
K 0.0000 0.0000 0.0000 x1  8 Ag 3.70-3.71, 4 K 3.76-3.79, 2 Y 4.09
Y 0.0000 0.0000 0.5000 x1  8 Ag 3.07
Ag 0.4992 0.5000 0.3140 x2  1 Ag 3.04, 4 Y 3.07

---

# KYAg2

A relaxed structure of KYAg2 (PBE-GGA, Alexandria via LeMat-Bulk).

Formation energy from the elements in kJ per mole of atoms: 7
VASP energy in eV/atom: -3.248

Lattice parameters (Å, degrees): 3.6428 3.6851 8.9015 90.00 90.00 90.00
Last column: nearest neighbours and their distance in Å.
Space group Pmm2 (No. 25)
Symmetry-distinct sites (fractional):
K 0.0000 0.0000 0.0000 x1  5 Ag 3.53-3.74, 4 K 3.64-3.69
Y 0.5000 0.5000 0.3947 x1  5 Ag 2.99-3.07
Ag 0.0000 0.0000 0.5800 x1  4 Ag 2.92, 4 Y 3.07
Ag 0.5000 0.5000 0.7301 x1  4 Ag 2.92, 1 Y 2.99

---

# KYAg4

A relaxed structure of KYAg4 (PBE-GGA, Alexandria via LeMat-Bulk).

Formation energy from the elements in kJ per mole of atoms: 4
VASP energy in eV/atom: -3.120

Lattice parameters (Å, degrees): 8.2239 8.2239 8.2239 90.00 90.00 90.00
Last column: nearest neighbours and their distance in Å.
Space group F-43m (No. 216)
Symmetry-distinct sites (fractional):
K 0.0000 0.0000 0.0000 x4  12 Ag 3.41, 4 Y 3.56
Y 0.2500 0.2500 0.7500 x4  12 Ag 3.41, 4 K 3.56
Ag 0.1248 0.1248 0.3752 x16  6 Ag 2.90-2.91

---

# KYAg2

A relaxed structure of KYAg2 (PBE-GGA, Alexandria via LeMat-Bulk).

Formation energy from the elements in kJ per mole of atoms: 8
VASP energy in eV/atom: -3.230

Lattice parameters (Å, degrees): 11.7421 3.3367 5.6088 90.00 104.77 90.00
Last column: nearest neighbours and their distance in Å.
Space group Cm (No. 8)
Symmetry-distinct sites (fractional):
K 0.0000 0.0000 0.0000 x2  7 Ag 3.20-3.39, 2 K 3.34
Y 0.2015 0.0000 0.6157 x2  7 Ag 3.23-3.42, 2 Y 3.34, 1 K 3.58
Ag 0.2593 0.5000 0.1666 x2  4 Ag 3.02-3.34, 1 K 3.20, 2 Y 3.23
Ag 0.4559 0.0000 0.4766 x2  4 Ag 3.02-3.34, 3 Y 3.25-3.27, 4 K 3.30